Below is a relaxed ReSb2Cl crystal, with properties calculated at the PBE level.

Output
SG: No. 38
D(E_F): 1.8 states/eV/cell
ΔE_f (raw): 0.27 eV per atom
VASP energy: -5.366 eV per atom

Cell lengths 3.437, 5.729, 5.729 Å; angles 55.34, 90.00, 90.00 degrees
Positions (direct):
Cl (0.000, 0.560, 0.560)
Re (0.500, 0.755, 0.755)
Sb (0.000, 0.949, 0.949)
Sb (0.500, 0.236, 0.236)